A plane-wave DFT calculation with PBE-GGA was carried out for crystalline Be2Tc3 at its relaxed geometry.

Cell lengths 2.718, 2.718, 29.801 Å; angles 90.00, 90.00, 120.00 degrees
Positions (direct):
Be1 0.000 0.000 0.102
Be2 0.000 0.000 0.898
Be3 0.333 0.667 0.564
Be4 0.333 0.667 0.769
Be5 0.667 0.333 0.231
Be6 0.667 0.333 0.436
Tc1 0.000 0.000 0.298
Tc2 0.000 0.000 0.500
Tc3 0.000 0.000 0.702
Tc4 0.333 0.667 0.167
Tc5 0.333 0.667 0.369
Tc6 0.333 0.667 0.965
Tc7 0.667 0.333 0.035
Tc8 0.667 0.333 0.631
Tc9 0.667 0.333 0.833

Its energy of formation from the pure elements is 0.111 eV/atom. The volume comes out at 63.5 Å³/f.u. Its symmetry is No. 166. The crystal system is trigonal. As for the total energy: -7.60 eV per atom. The offset from the most stable computed form comes out at 66 meV/atom.